Entry 1:
Mg5HgRh4 | GGA-PBE | optimized geometry

Unit cell a=3.204 b=3.204 c=15.757 alpha=90.00 beta=90.00 gamma=90.00
Fractional positions:
Mg (0.500, 0.500, 0.500)
Hg (0.000, 0.000, 0.000)
Mg (0.500, 0.500, 0.691)
Mg (0.500, 0.500, 0.122)
Rh (0.000, 0.000, 0.596)
Mg (0.500, 0.500, 0.878)
Rh (0.000, 0.000, 0.210)
Rh (0.000, 0.000, 0.790)
Rh (0.000, 0.000, 0.404)
Mg (0.500, 0.500, 0.309)

Summary:
* symmetry: No. 123
* total moment: 0.000 μB/atom
* E_form: -0.441 eV per atom
* total DFT energy (no corrections): -42.088 eV per formula unit

=====

Entry 2:
BiRhSe2 | GGA-PBE | optimized geometry

Unit cell a=6.818 b=6.818 c=5.992 alpha=55.32 beta=55.32 gamma=90.00
Fractional positions:
Se (0.250, 0.250, 0.000)
Se (0.750, 0.250, 0.000)
Rh (0.250, 0.250, 0.500)
Bi (0.750, 0.250, 0.500)
Se (0.750, 0.750, 0.000)
Bi (0.250, 0.750, 0.500)
Rh (0.750, 0.750, 0.500)
Se (0.250, 0.750, 0.000)

Summary:
* symmetry: No. 123
* total moment: 0.000 μB/atom
* total DFT energy (no corrections): -17.484 eV per formula unit

=====

Entry 3:
RbTl6Se4 | GGA-PBE | optimized geometry

Unit cell a=7.560 b=7.304 c=8.723 alpha=65.21 beta=64.32 gamma=89.97
Fractional positions:
Rb (0.000, 0.999, 0.000)
Se (0.579, 0.125, 0.257)
Tl (0.999, 0.500, 0.000)
Tl (0.864, 0.485, 0.671)
Se (0.165, 0.617, 0.258)
Tl (0.136, 0.156, 0.329)
Tl (0.465, 0.845, 0.670)
Se (0.421, 0.382, 0.743)
Se (0.836, 0.876, 0.742)
Tl (0.535, 0.515, 0.330)
Tl (0.500, 0.000, 0.000)

Summary:
* symmetry: No. 1
* total moment: 0.000 μB/atom
* total DFT energy (no corrections): -33.290 eV per formula unit

=====

Entry 4:
NiAg5S4 | GGA-PBE | optimized geometry

Unit cell a=3.486 b=7.038 c=7.764 alpha=105.19 beta=102.97 gamma=90.00
Fractional positions:
S (0.656, 0.056, 0.311)
S (0.009, 0.233, 0.018)
S (0.344, 0.944, 0.689)
Ag (0.500, 0.500, 0.000)
S (0.991, 0.767, 0.982)
Ag (0.166, 0.755, 0.332)
Ag (0.196, 0.351, 0.393)
Ag (0.834, 0.245, 0.668)
Ag (0.804, 0.649, 0.607)
Ni (0.500, 0.000, 0.000)

Summary:
* symmetry: No. 12
* total moment: 0.000 μB/atom
* total DFT energy (no corrections): -35.885 eV per formula unit

=====

Entry 5:
CrAg2Mo | GGA-PBE | optimized geometry

Unit cell a=5.407 b=5.407 c=5.407 alpha=144.62 beta=134.52 gamma=58.90
Each line ends with the local moment (μB).
Fractional positions:
Mo (0.250, 0.750, 0.500)  -1.35
Ag (0.993, 0.993, 0.000)  -0.03
Ag (0.507, 0.507, 0.000)  -0.03
Cr (0.750, 0.250, 0.500)  2.47

Summary:
* symmetry: No. 71
* total moment: 0.268 μB/atom
* E_form: 0.559 eV per atom
* total DFT energy (no corrections): -23.922 eV per formula unit

=====

Entry 6:
Y5As4O | GGA-PBE | optimized geometry

Unit cell a=5.794 b=6.957 c=6.957 alpha=80.01 beta=65.39 gamma=65.39
Fractional positions:
As (0.802, 0.795, 0.605)
Y (0.289, 0.811, 0.615)
As (0.597, 0.605, 0.205)
Y (0.905, 0.385, 0.811)
As (0.202, 0.205, 0.395)
Y (0.100, 0.615, 0.189)
O (0.056, 0.000, 0.000)
As (0.408, 0.395, 0.795)
Y (0.715, 0.189, 0.385)
Y (0.435, 0.000, 0.000)

Summary:
* symmetry: No. 79
* total moment: 0.000 μB/atom
* total DFT energy (no corrections): -73.232 eV per formula unit

=====

Entry 7:
BaNaNb2Pt | GGA-PBE | optimized geometry

Unit cell a=5.063 b=6.188 c=5.063 alpha=90.00 beta=90.00 gamma=90.00
Each line ends with the local moment (μB).
Fractional positions:
Nb (0.500, 0.000, 0.000)  1.00
Nb (0.000, 0.000, 0.500)  0.68
Na (0.500, 0.500, 0.500)  -0.01
Pt (0.000, 0.000, 0.000)  0.01
Ba (0.000, 0.500, 0.000)  0.01

Summary:
* symmetry: No. 123
* total moment: 0.439 μB/atom
* E_form: 0.761 eV per atom
* total DFT energy (no corrections): -25.619 eV per formula unit

=====

Entry 8:
Mg8Tl2Ag | GGA-PBE | optimized geometry

Unit cell a=4.881 b=6.977 c=8.367 alpha=111.86 beta=106.96 gamma=90.00
Fractional positions:
Mg (0.178, 0.227, 0.357)
Mg (0.017, 0.780, 0.034)
Tl (0.815, 0.327, 0.630)
Mg (0.344, 0.086, 0.687)
Mg (0.983, 0.220, 0.966)
Mg (0.393, 0.578, 0.786)
Mg (0.607, 0.422, 0.214)
Tl (0.185, 0.673, 0.370)
Ag (0.500, 0.000, 0.000)
Mg (0.822, 0.773, 0.643)
Mg (0.656, 0.914, 0.313)

Summary:
* symmetry: No. 12
* total moment: 0.000 μB/atom
* E_form: -0.040 eV per atom
* total DFT energy (no corrections): -20.784 eV per formula unit